Ho2TmMoO6 PBE+U optimized geometry; raw total energy = -8.141 eV/atom; space group = R3, No. 146; crystal system = trigonal
1.0
2.841 1.640 4.987
-2.841 1.640 4.987
0.000 -3.280 4.987
Ho Tm Mo O
2 1 1 6
direct
0.000 0.000 0.000
0.495 0.495 0.495
0.214 0.214 0.214
0.706 0.706 0.706
0.092 0.414 0.821
0.325 0.908 0.597
0.414 0.821 0.092
0.597 0.325 0.908
0.821 0.092 0.414
0.908 0.597 0.325